Density functional theory data (PBE-GGA) for crystalline Cu2OsPb at its relaxed geometry.

Properties
Size of the total moment = 0.000 μB per atom
DFT total energy = -5.165 eV per atom
Theoretical density = 13458 kg/m³
Volume = 16.18 Å³/atom
Energy of formation from the pure elements = 617 meV per atom

```
data_Cu2OsPb
_symmetry_space_group_name_H-M 'P 4 m m'
_symmetry_Int_Tables_number 99
_cell_length_a 3.162
_cell_length_b 3.162
_cell_length_c 6.473
_cell_angle_alpha 90.00
_cell_angle_beta 90.00
_cell_angle_gamma 90.00
loop_
_symmetry_equiv_pos_as_xyz
'x,y,z'
'-y,x,z'
'-x,-y,z'
'y,-x,z'
'-x,y,z'
'y,x,z'
'x,-y,z'
'-y,-x,z'
loop_
_atom_site_label
_atom_site_type_symbol
_atom_site_fract_x
_atom_site_fract_y
_atom_site_fract_z
Cu1 Cu 0.000 0.000 0.000
Cu2 Cu 0.500 0.500 0.187
Os1 Os 0.000 0.000 0.404
Pb1 Pb 0.500 0.500 0.690
```